Compound: CsK2NaSe
Source: the Alexandria database
Functional: PBE
Structure: optimized geometry

Geometry as POSCAR:
```
CsK2NaSe
1.0
-1.2470 0.5384 -6.2722
0.6751 -6.3457 -0.6789
-6.9164 -0.8748 1.2999
Se Na K Cs
1 1 2 1
direct
0.0000 0.0000 0.0000
0.5000 0.5000 0.5000
0.5000 0.0000 0.0000
0.0000 0.5000 0.0000
0.0000 0.0000 0.5000
```

Summary:
ΔE_f (raw): -2.9 eV/f.u.
SG: No. 123
energy relative to the lowest polymorph listed for this composition: 0 meV per atom

***

Compound: SrPrNd2
Source: the Alexandria database
Functional: PBE
Structure: optimized geometry

Geometry as POSCAR:
```
SrPrNd2
1.0
-5.0496 -3.0430 -1.2670
0.2094 -5.9652 -0.8577
-2.3870 -3.7214 4.1009
Nd Sr Pr
2 1 1
direct
0.2500 0.2500 0.2500
0.7500 0.7500 0.7500
0.5000 0.5000 0.5000
0.0000 0.0000 0.0000
```

Summary:
SG: No. 225
formation energy: 0.207 eV per atom
energy relative to the lowest polymorph listed for this composition: 124 meV per atom

***

Compound: TbPmHo3Sc
Source: the Alexandria database
Functional: PBE
Structure: optimized geometry

Geometry as POSCAR:
```
TbPmHo3Sc
1.0
-0.8893 -4.0016 2.7923
-1.2855 -1.8761 -7.5032
9.4995 -2.7645 -0.9362
Tb Sc Ho Pm
2 2 6 2
direct
0.0000 0.0000 0.0000
0.0000 0.0000 0.5000
0.8317 0.6635 0.7500
0.1683 0.3365 0.2500
0.6681 0.3362 0.0003
0.1697 0.3394 0.7500
0.6681 0.3362 0.4997
0.3319 0.6638 0.5003
0.8303 0.6606 0.2500
0.3319 0.6638 0.9997
0.5021 0.0042 0.2500
0.4979 0.9958 0.7500
```

Summary:
SG: No. 63
formation energy: 0.037 eV per atom

***

Compound: EuHgI2
Source: the Alexandria database
Functional: PBE
Structure: optimized geometry

Geometry as POSCAR:
```
EuHgI2
1.0
4.6786 0.0000 0.0000
2.3393 4.0517 0.0000
2.3393 1.3506 12.0151
Hg I Eu
1 2 1
direct
0.0000 0.0000 0.0000
0.8840 0.8840 0.3481
0.1160 0.1160 0.6519
0.5000 0.5000 0.5000
```

Summary:
ΔE_f (raw): -4.7 eV/f.u.
SG: No. 166
energy relative to the lowest polymorph listed for this composition: 0 meV per atom